Cs2ScNi3F12 | GGA+U | relaxed

* uncorrected energy: -4.79 eV per atom
* symmetry: R-3m (166)
* DOS at the Fermi energy: 0.8 states/eV per cell
* size of the total moment: 5.0 μB/cell

a b c (Å): 7.520 7.520 7.520
angles (deg): 58.12 58.12 58.12
Fractional positions:
Cs (0.119, 0.119, 0.119)
Cs (0.881, 0.881, 0.881)
Sc (0.500, 0.500, 0.500)
Ni (0.000, 0.500, 0.500)
Ni (0.500, 0.000, 0.500)
Ni (0.500, 0.500, 0.000)
F (0.172, 0.574, 0.574)
F (0.186, 0.186, 0.573)
F (0.186, 0.573, 0.186)
F (0.426, 0.426, 0.828)
F (0.426, 0.828, 0.426)
F (0.427, 0.814, 0.814)
F (0.573, 0.186, 0.186)
F (0.574, 0.172, 0.574)
F (0.574, 0.574, 0.172)
F (0.814, 0.427, 0.814)
F (0.814, 0.814, 0.427)
F (0.828, 0.426, 0.426)